Li3SnS: relaxed, PBE.

Lattice parameters (Å, degrees): 4.6299 4.6299 4.6299 90.00 90.00 90.00
Sites, in units of the cell vectors:
Sn  0.5000  0.5000  0.5000
Li  0.5000  0.0000  0.0000
Li  0.0000  0.5000  0.0000
Li  0.0000  0.0000  0.5000
S  0.0000  0.0000  0.0000

- Crystal system: cubic
- Theoretical density: 2.87 g/cm³
- Relative energy among the computed polymorphs: 0.0 kJ per mole of atoms
- Uncorrected formation energy: -0.586 eV/atom
- SG: Pm-3m (221)
- Calculated volume: 99.2 Å³ per cell